Compound: Ni2BiSe2
Source: Alexandria via LeMat-Bulk
Functional: PBE
Structure: relaxed

Unit cell a=3.586 b=3.586 c=15.575 alpha=90.00 beta=90.00 gamma=90.00
Space group I4/mmm (No. 139)
One atom of each set of equivalent atoms:
Ni: 0.000 0.500 0.250
Bi: 0.000 0.000 0.000
Se: 0.000 0.000 0.351

Properties
Final energy   -4.580 eV per atom